The following is a DFT calculation (PBE-GGA) of crystalline PbC3 at its relaxed geometry. Values from VASP.

Cell and atoms, written as Quantum ESPRESSO input:
```
&SYSTEM
  ibrav = 0, nat = 16, ntyp = 2
/
ATOMIC_SPECIES
Pb 207.20 Pb.upf
C 12.01 C.upf
CELL_PARAMETERS angstrom
6.375 0.000 0.000
0.000 15.649 0.000
0.000 0.000 2.679
ATOMIC_POSITIONS crystal
Pb 0.000 0.140 0.250
Pb 0.000 0.860 0.750
Pb 0.500 0.360 0.750
Pb 0.500 0.640 0.250
C 0.000 0.292 0.750
C 0.000 0.708 0.250
C 0.108 0.344 0.250
C 0.108 0.656 0.750
C 0.392 0.156 0.750
C 0.392 0.844 0.250
C 0.500 0.208 0.250
C 0.500 0.792 0.750
C 0.608 0.156 0.750
C 0.608 0.844 0.250
C 0.892 0.344 0.250
C 0.892 0.656 0.750
```

Results
For the energy relative to the elements, the calculation gives 2.03 eV per atom. Its density of states at the Fermi level is 0.15 states/eV/atom. As for the volume: 16.707 Å³/atom.